# Dy5Zn2In2 PBE relaxed
# Formation energy in eV per atom: -0.285
# Crystal system: orthorhombic
# Energy in Ry per atom: -0.274
# Total magnetization in μB/atom: 0.00
data_Dy5Zn2In2
_chemical_formula_sum 'Dy20 Zn8 In8'
_symmetry_space_group_name_H-M 'C m c e'
_symmetry_Int_Tables_number 64
_symmetry_space_group_name_Hall '-C 2ac 2'
_cell_length_a 16.3313
_cell_length_b 8.2762
_cell_length_c 7.1216
_cell_angle_alpha 90.00
_cell_angle_beta 90.00
_cell_angle_gamma 90.00
loop_
_atom_site_label
_atom_site_type_symbol
_atom_site_fract_x
_atom_site_fract_y
_atom_site_fract_z
Dy1 Dy 0.0000 0.0000 0.0000
Dy2 Dy 0.1330 0.1911 0.3286
Zn1 Zn 0.0000 0.1260 0.6086
In1 In 0.2191 0.0000 0.0000